Entry 1:
The following is a DFT calculation (GGA-PBE) of a relaxed structure of Na2NbPtO6.

POSCAR file:
```
Na2NbPtO6
1.0
4.032 0.000 0.000
0.000 5.576 0.000
0.000 0.000 5.576
Na Nb Pt O
2 1 1 6
Cartesian
0.587 2.788 0.000 Na
0.587 0.000 2.788 Na
2.600 2.788 2.788 Nb
2.598 0.000 0.000 Pt
2.598 1.391 1.391 O
2.598 1.391 4.185 O
0.582 2.788 2.788 O
0.582 0.000 0.000 O
2.598 4.185 4.185 O
2.598 4.185 1.391 O
```

Properties
The calculation puts the density of states at the Fermi level at 0.562 states/eV per atom. As for the symmetry: P4/mmm. Its uncorrected formation energy is -1.506 eV per atom. The magnetic moment is 0.695 μB per formula unit.


Entry 2:
The following is a DFT calculation (GGA-PBE) of a relaxed structure of KLiRe2.

POSCAR file:
```
KLiRe2
1.0
-6.289 -0.313 0.246
-5.720 -1.830 -1.909
-1.394 -3.728 2.257
K Li Re
1 1 2
Cartesian
-3.351 -1.468 0.149 K
-10.052 -4.404 0.446 Li
-1.669 -3.687 2.156 Re
-6.427 -2.977 0.399 Re
```

Properties
The formation energy from the elements comes out at 821 meV/atom. The calculation puts the density of states at the Fermi level at 0.449 states/eV per atom. As for the symmetry: Immm. The magnetic moment is 0.000 μB per formula unit.


Entry 3:
The following is a DFT calculation (GGA-PBE) of a relaxed structure of AlInBr2.

POSCAR file:
```
AlInBr2
1.0
0.000 3.903 3.903
3.903 0.000 3.903
3.903 3.903 0.000
Al Br In
1 2 1
Cartesian
0.000 0.000 0.000 Al
1.951 1.951 1.951 Br
5.854 5.854 5.854 Br
3.903 3.903 3.903 In
```

Properties
The calculation puts the density of states at the Fermi level at 0.000 states/eV per atom. As for the symmetry: Fm-3m. Its uncorrected formation energy is -0.324 eV per atom. The magnetic moment is 0.000 μB per formula unit.


Entry 4:
The following is a DFT calculation (GGA-PBE) of a relaxed structure of Al2FeNi8.

POSCAR file:
```
Al2FeNi8
1.0
-1.287 3.004 2.620
-5.490 2.946 -1.168
-5.486 -2.406 2.517
Al Fe Ni
2 1 8
Cartesian
-3.814 -0.040 0.626 Al
-7.162 0.580 0.723 Al
-0.644 1.502 1.310 Fe
-2.877 2.344 2.683 Ni
-7.151 1.653 3.828 Ni
-2.645 2.131 0.328 Ni
-7.271 2.838 1.429 Ni
-4.992 0.706 2.540 Ni
-4.132 3.819 1.124 Ni
-5.113 1.891 0.140 Ni
-9.387 1.200 1.286 Ni
```

Properties
The formation energy from the elements comes out at -82 meV/atom. The calculation puts the density of states at the Fermi level at 0.942 states/eV per atom. As for the symmetry: C2/m. The magnetic moment is 5.114 μB per formula unit.


Entry 5:
The following is a DFT calculation (GGA-PBE) of a relaxed structure of TlCuSb2.

POSCAR file:
```
TlCuSb2
1.0
4.114 0.000 0.000
0.000 4.809 0.000
0.000 0.000 5.029
Cu Sb Tl
1 2 1
Cartesian
0.000 2.405 2.515 Cu
0.000 0.000 0.000 Sb
2.057 2.405 0.000 Sb
2.057 0.000 2.515 Tl
```

Properties
The calculation puts the density of states at the Fermi level at 0.397 states/eV per atom. As for the symmetry: Pmmm. Its uncorrected formation energy is 0.349 eV per atom. The magnetic moment is 0.000 μB per formula unit.


Entry 6:
The following is a DFT calculation (GGA-PBE) of a relaxed structure of Nb3ReS.

POSCAR file:
```
Nb3ReS
1.0
-3.879 -0.605 2.894
2.930 -1.424 3.629
0.395 4.625 1.496
Re Nb S
1 3 1
Cartesian
0.000 0.000 0.000 Re
1.465 -0.712 1.815 Nb
0.197 2.313 0.748 Nb
-1.939 -0.303 1.447 Nb
-0.277 1.298 4.010 S
```

Properties
The calculation puts the density of states at the Fermi level at 1.298 states/eV per atom. As for the symmetry: Pm-3m. Its uncorrected formation energy is 1.269 eV per atom. The magnetic moment is 0.000 μB per formula unit.


Which formula does entry 2 have? KLiRe2


Look up the density of states at the Fermi level of the second one. 0.449 states/eV per atom


Which value of magnetic moment does entry 4 give? 5.114 μB per formula unit